1.
# Tb3Pm7Dy | the Alexandria database | PBE-GGA | optimized geometry
# Formation enthalpy at 0 K, eV/atom: 0.180
# Size of the total moment, μB/cell: 0.0
# Excess energy over the best structure of this formula in the dataset, kJ per mole of atoms: 5.8
# Calculated volume, Å³/atom: 35.23
data_Tb3Pm7Dy
_chemical_formula_sum 'Tb3 Pm7 Dy1'
_space_group_name_H-M_alt 'P 3 m 1'
_space_group_IT_number 156
_space_group_name_Hall 'P 3 -2"'
_cell_length_a 7.1777
_cell_length_b 7.1777
_cell_length_c 8.6866
_cell_angle_alpha 90.00
_cell_angle_beta 90.00
_cell_angle_gamma 120.00
loop_
_atom_site_label
_atom_site_type_symbol
_atom_site_fract_x
_atom_site_fract_y
_atom_site_fract_z
Tb1 Tb 0.0009 0.5004 0.0000
Pm1 Pm 0.1674 0.3348 0.6700
Pm2 Pm 0.3346 0.1673 0.3275
Pm3 Pm 0.6667 0.3333 0.6588
Dy1 Dy 0.3333 0.6667 0.3379

2.
# ScGaHgPd | the Alexandria database | PBE-GGA | optimized geometry
# Formation enthalpy at 0 K, eV/atom: -0.497
# Size of the total moment, μB/cell: 0.0
# Calculated volume, Å³/atom: 18.18
data_ScGaHgPd
_chemical_formula_sum 'Sc4 Ga4 Hg4 Pd4'
_space_group_name_H-M_alt 'F -4 3 m'
_space_group_IT_number 216
_space_group_name_Hall 'F -4 2 3'
_cell_length_a 6.626
_cell_length_b 6.626
_cell_length_c 6.626
_cell_angle_alpha 90.00
_cell_angle_beta 90.00
_cell_angle_gamma 90.00
loop_
_atom_site_label
_atom_site_type_symbol
_atom_site_fract_x
_atom_site_fract_y
_atom_site_fract_z
Sc1 Sc 0.000 0.000 0.000
Ga1 Ga 0.000 0.000 0.500
Hg1 Hg 0.250 0.250 0.750
Pd1 Pd 0.250 0.250 0.250

3.
# MgHgPt | the Alexandria database | PBE-GGA | optimized geometry
# Formation enthalpy at 0 K, eV/atom: -0.369
# Size of the total moment, μB/cell: 0.0
# Excess energy over the best structure of this formula in the dataset, kJ per mole of atoms: 7.0
# Calculated volume, Å³/atom: 18.44
data_MgHgPt
_chemical_formula_sum 'Mg2 Hg2 Pt2'
_space_group_name_H-M_alt 'I 4 m m'
_space_group_IT_number 107
_space_group_name_Hall 'I 4 -2'
_cell_length_a 3.137
_cell_length_b 3.137
_cell_length_c 11.242
_cell_angle_alpha 90.00
_cell_angle_beta 90.00
_cell_angle_gamma 90.00
loop_
_atom_site_label
_atom_site_type_symbol
_atom_site_fract_x
_atom_site_fract_y
_atom_site_fract_z
Mg1 Mg 0.000 0.000 0.000
Hg1 Hg 0.000 0.000 0.311
Pt1 Pt 0.000 0.000 0.635

4.
# KTaIr2 | the Alexandria database | PBE-GGA | optimized geometry
# Formation enthalpy at 0 K, eV/atom: 0.227
# Size of the total moment, μB/cell: 0.0
# Excess energy over the best structure of this formula in the dataset, kJ per mole of atoms: 25.3
# Calculated volume, Å³/atom: 21.83
data_KTaIr2
_chemical_formula_sum 'K2 Ta2 Ir4'
_space_group_name_H-M_alt 'C 1 2/m 1'
_space_group_IT_number 12
_space_group_name_Hall '-C 2y'
_cell_length_a 6.747
_cell_length_b 3.007
_cell_length_c 8.658
_cell_angle_alpha 90.00
_cell_angle_beta 96.27
_cell_angle_gamma 90.00
loop_
_atom_site_label
_atom_site_type_symbol
_atom_site_fract_x
_atom_site_fract_y
_atom_site_fract_z
K1 K 0.000 0.000 0.000
Ta1 Ta 0.000 0.500 0.500
Ir1 Ir 0.233 0.000 0.688